i | ## UTaHg (GGA-PBE)

Data for a geometry-optimized UTaHg structure.

extended XYZ file:
```
3
Lattice="0.000 3.319 3.319 3.319 0.000 3.319 3.319 3.319 0.000" Properties=species:S:1:pos:R:3 pbc="T T T"
Hg 0.000 0.000 0.000
Ta 1.659 1.659 1.659
U 3.319 3.319 3.319
```

***

ii | ## UTaHg (GGA-PBE)

Data for a geometry-optimized UTaHg structure.

extended XYZ file:
```
3
Lattice="-3.364 3.286 0.743 -0.768 3.396 -3.246 -3.989 -0.048 -2.598" Properties=species:S:1:pos:R:3 pbc="T T T"
Hg -2.030 1.658 -1.275
Ta -6.091 4.975 -3.826
U 0.000 0.000 0.000
```

***

Ranked by calculated energy, most stable first: i, ii.

***

i | ## TbTlHgTe3 (GGA-PBE)

Data for a geometry-optimized TbTlHgTe3 structure.

extended XYZ file:
```
12
Lattice="9.796 -2.203 0.000 9.796 2.203 0.000 -2.057 0.000 9.323" Properties=species:S:1:pos:R:3 pbc="T T T"
Hg 10.074 0.000 2.073
Hg 7.461 0.000 7.250
Tb 3.237 0.000 0.823
Tb 14.297 0.000 8.499
Te 0.000 0.000 0.000
Te 6.244 0.000 1.279
Te 12.799 0.000 3.001
Te 8.767 0.000 4.661
Te 4.735 0.000 6.322
Te 11.291 0.000 8.044
Tl 16.117 0.000 3.938
Tl 1.417 0.000 5.385
```

***

ii | ## TbTlHgTe3 (GGA-PBE)

Data for a geometry-optimized TbTlHgTe3 structure.

extended XYZ file:
```
12
Lattice="-6.753 -5.027 -2.354 2.741 -2.575 -2.362 4.152 -4.176 9.370" Properties=species:S:1:pos:R:3 pbc="T T T"
Hg -2.552 -8.133 -0.358
Hg 2.692 -3.646 5.011
Tb -3.381 -4.703 -0.883
Tb 3.521 -7.076 5.537
Te -3.726 -7.205 -2.731
Te -0.338 -4.772 -1.452
Te -2.473 -6.223 1.827
Te 2.614 -5.556 2.826
Te 0.479 -7.007 6.106
Te 3.867 -4.574 7.385
Tl 0.135 -3.144 1.496
Tl 0.006 -8.636 3.158
```

***

Ranked by calculated energy, most stable first: ii, i.

***

i | ## TbTlHgTe3 (GGA-PBE)

Data for a geometry-optimized TbTlHgTe3 structure.

extended XYZ file:
```
24
Lattice="12.793 0.000 0.000 0.000 4.570 0.000 0.000 0.000 13.535" Properties=species:S:1:pos:R:3 pbc="T T T"
Hg 9.646 0.000 2.686
Hg 3.250 0.000 4.082
Hg 9.543 2.285 9.453
Hg 3.146 2.285 10.849
Tb 6.005 2.285 2.513
Tb 12.401 2.285 4.255
Tb 0.392 0.000 9.281
Tb 6.788 0.000 11.022
Te 7.463 0.000 0.899
Te 12.435 0.000 2.081
Te 2.949 2.285 2.311
Te 9.345 2.285 4.456
Te 6.039 0.000 4.687
Te 1.066 0.000 5.869
Te 11.727 2.285 7.667
Te 6.754 2.285 8.848
Te 3.448 0.000 9.079
Te 9.844 0.000 11.224
Te 0.358 2.285 11.455
Te 5.330 2.285 12.636
Tl 10.481 2.285 0.145
Tl 4.084 2.285 6.622
Tl 8.709 0.000 6.913
Tl 2.312 0.000 13.390
```

***

ii | ## TbTlHgTe3 (GGA-PBE)

Data for a geometry-optimized TbTlHgTe3 structure.

extended XYZ file:
```
24
Lattice="-8.435 0.787 7.955 -2.846 -1.927 -2.828 3.851 -13.661 5.435" Properties=species:S:1:pos:R:3 pbc="T T T"
Hg -6.144 -2.822 6.356
Hg -1.649 -4.198 2.770
Hg -5.782 -10.603 7.792
Hg -1.288 -11.979 4.206
Tb -9.498 -4.048 7.065
Tb -5.260 -4.515 3.117
Tb -2.171 -10.287 7.445
Tb 2.067 -10.753 3.497
Te -8.227 -1.204 7.350
Te -4.796 -1.612 4.175
Te -3.500 -3.508 0.659
Te -7.060 -5.447 5.564
Te 0.472 -5.732 1.680
Te -2.908 -5.505 4.927
Te -4.524 -9.297 5.635
Te -7.903 -9.070 8.882
Te -0.371 -9.354 4.998
Te -3.931 -11.294 9.903
Te -2.635 -13.189 6.387
Te 0.795 -13.597 3.212
Tl -8.268 -1.036 3.773
Tl -2.219 -7.926 2.381
Tl -5.212 -6.875 8.181
Tl 0.836 -13.766 6.789
```

***

Ranked by calculated energy, most stable first: ii, i.

***

i | ## TbTlHgTe3 (GGA-PBE)

Data for a geometry-optimized TbTlHgTe3 structure.

extended XYZ file:
```
12
Lattice="2.216 -7.726 0.000 2.216 7.726 0.000 0.000 0.000 11.621" Properties=species:S:1:pos:R:3 pbc="T T T"
Hg 2.216 -7.130 2.905
Hg 2.216 7.130 8.716
Tb 2.216 0.000 0.000
Tb 2.216 0.000 5.810
Te 2.216 -5.579 0.546
Te 2.216 -1.276 2.905
Te 2.216 -5.579 5.264
Te 2.216 5.579 6.357
Te 2.216 1.276 8.716
Te 2.216 5.579 11.075
Tl 2.216 3.699 2.905
Tl 2.216 -3.699 8.716
```

***

ii | ## TbTlHgTe3 (GGA-PBE)

Data for a geometry-optimized TbTlHgTe3 structure.

extended XYZ file:
```
24
Lattice="15.250 0.000 0.000 0.000 4.469 0.000 0.000 0.000 11.884" Properties=species:S:1:pos:R:3 pbc="T T T"
Hg 0.299 1.117 1.274
Hg 7.924 1.117 4.668
Hg 7.325 3.352 7.216
Hg 14.950 3.352 10.611
Tb 8.014 3.352 1.871
Tb 0.389 3.352 4.071
Tb 14.861 1.117 7.813
Tb 7.236 1.117 10.013
Te 6.083 1.117 0.946
Te 13.713 3.352 1.480
Te 10.022 1.117 2.761
Te 2.397 1.117 3.181
Te 6.088 3.352 4.462
Te 13.708 1.117 4.996
Te 1.542 3.352 6.888
Te 9.162 1.117 7.422
Te 12.852 3.352 8.704
Te 5.228 3.352 9.123
Te 1.537 1.117 10.404
Te 9.167 3.352 10.938
Tl 3.628 3.352 0.614
Tl 11.253 3.352 5.328
Tl 3.997 1.117 6.556
Tl 11.622 1.117 11.270
```

***

iii | ## TbTlHgTe3 (GGA-PBE)

Data for a geometry-optimized TbTlHgTe3 structure.

extended XYZ file:
```
24
Lattice="-3.494 4.511 6.859 -3.374 -3.211 0.393 10.588 -9.688 11.765" Properties=species:S:1:pos:R:3 pbc="T T T"
Hg -4.135 0.311 8.738
Hg -0.538 -3.637 7.365
Hg 4.258 -4.750 11.652
Hg 7.855 -8.699 10.279
Tb -3.070 -1.552 2.658
Tb -0.371 -3.364 11.028
Tb 4.092 -5.024 7.989
Tb 6.791 -6.836 16.359
Te -4.113 -0.137 5.266
Te -0.089 -1.487 0.986
Te -1.341 -3.121 4.693
Te -2.174 -1.700 9.137
Te 1.917 -2.665 8.585
Te 1.715 -6.127 6.370
Te 2.005 -2.261 12.647
Te 1.803 -5.722 10.432
Te 5.895 -6.687 9.880
Te 5.061 -5.267 14.324
Te 3.809 -6.900 18.031
Te 7.833 -8.250 13.751
Tl -0.820 -0.061 6.357
Tl 2.120 -3.408 4.252
Tl 1.601 -4.979 14.765
Tl 4.540 -8.326 12.660
```

***

Ranked by calculated energy, most stable first: i, ii, iii.

***

i | ## TcHg2 (GGA-PBE)

Data for a geometry-optimized TcHg2 structure.

extended XYZ file:
```
6
Lattice="-0.778 -5.434 0.597 -4.830 -1.908 1.878 -3.417 -2.690 -3.403" Properties=species:S:1:pos:R:3 pbc="T T T"
Hg -3.932 -4.925 1.121
Hg -3.226 -5.316 -1.519
Hg -5.251 -3.553 -0.879
Hg -5.640 -6.270 -0.580
Tc 0.000 0.000 0.000
Tc -2.256 -2.508 -0.232
```

***

ii | ## TcHg2 (GGA-PBE)

Data for a geometry-optimized TcHg2 structure.

extended XYZ file:
```
6
Lattice="-5.346 -6.053 2.487 -2.836 -0.124 7.959 -8.069 1.902 1.640" Properties=species:S:1:pos:R:3 pbc="T T T"
Hg -6.094 -1.603 4.533
Hg -8.767 -4.630 5.776
Hg -7.512 -1.665 8.512
Hg -10.128 -0.652 5.353
Tc -4.063 -1.069 3.022
Tc -8.125 -2.138 6.043
```

***

Ranked by calculated energy, most stable first: i, ii.

***

i | ## Tc2Hg (GGA-PBE)

Data for a geometry-optimized Tc2Hg structure.

extended XYZ file:
```
6
Lattice="4.310 2.488 7.037 -4.310 2.488 7.037 0.000 -4.976 7.037" Properties=species:S:1:pos:R:3 pbc="T T T"
Hg 0.000 0.000 5.278
Hg 0.000 0.000 10.556
Tc 2.155 1.244 11.436
Tc -2.155 1.244 11.436
Tc 0.000 0.000 7.917
Tc 0.000 -2.488 11.436
```

***

ii | ## Tc2Hg (GGA-PBE)

Data for a geometry-optimized Tc2Hg structure.

extended XYZ file:
```
6
Lattice="-4.435 -1.858 -2.092 -4.576 0.774 2.441 -3.528 3.307 -2.029" Properties=species:S:1:pos:R:3 pbc="T T T"
Hg 0.000 0.000 0.000
Hg -3.135 0.556 -0.420
Tc -6.073 -0.264 -0.035
Tc -5.549 1.002 -2.270
Tc -5.619 2.318 -0.004
Tc -7.837 1.389 -1.050
```

***

Ranked by calculated energy, most stable first: ii, i.

***

i | ## ThTcHg (GGA-PBE)

Data for a geometry-optimized ThTcHg structure.

extended XYZ file:
```
3
Lattice="0.000 3.395 3.395 3.395 0.000 3.395 3.395 3.395 0.000" Properties=species:S:1:pos:R:3 pbc="T T T"
Hg 0.000 0.000 0.000
Tc 1.697 1.697 1.697
Th 5.092 5.092 5.092
```

***

ii | ## ThTcHg (GGA-PBE)

Data for a geometry-optimized ThTcHg structure.

extended XYZ file:
```
3
Lattice="-1.212 -4.343 1.807 -4.632 -0.968 1.096 -2.533 -3.137 -2.709" Properties=species:S:1:pos:R:3 pbc="T T T"
Hg -4.189 -4.224 0.097
Tc 0.000 0.000 0.000
Th -2.094 -2.112 0.049
```

***

Ranked by calculated energy, most stable first: i, ii.

***

i | ## UTcHg (GGA-PBE)

Data for a geometry-optimized UTcHg structure.

extended XYZ file:
```
3
Lattice="-3.206 3.375 0.477 -0.298 3.411 -3.189 -3.665 0.174 -2.904" Properties=species:S:1:pos:R:3 pbc="T T T"
Hg -1.792 1.740 -1.404
Tc -5.377 5.220 -4.212
U 0.000 0.000 0.000
```

***

ii | ## UTcHg (GGA-PBE)

Data for a geometry-optimized UTcHg structure.

extended XYZ file:
```
3
Lattice="0.000 3.285 3.285 3.285 0.000 3.285 3.285 3.285 0.000" Properties=species:S:1:pos:R:3 pbc="T T T"
Hg 0.000 0.000 0.000
Tc 1.643 1.643 1.643
U 4.928 4.928 4.928
```

***

Ranked by calculated energy, most stable first: i, ii.